No. 1
Material: BaPm4Pb3O12
Method: DFT, PBE-GGA
State: optimized geometry

a = 7.6191 Å, b = 7.6191 Å, c = 7.6191 Å
α = 109.47°, β = 109.47°, γ = 109.47°
Last column: magnetic moment on the atom in μB.
Atoms (fractional coordinates):
Pm  0.0000  0.0000  0.5000  0.01
Pm  0.0000  0.5000  0.0000  0.01
Pm  0.5000  0.5000  0.5000  0.01
Pm  0.5000  0.0000  0.0000  0.01
Pb  0.5000  0.0000  0.5000  0.12
Pb  0.5000  0.5000  0.0000  0.12
Pb  0.0000  0.5000  0.5000  0.12
O  0.8640  0.6912  0.1728  0.10
O  0.8272  0.1360  0.3088  0.10
O  0.5184  0.6912  0.8272  0.10
O  0.8272  0.5184  0.6912  0.10
O  0.3088  0.1728  0.4816  0.10
O  0.1728  0.4816  0.3088  0.10
O  0.3088  0.8272  0.1360  0.10
O  0.1728  0.8640  0.6912  0.10
O  0.4816  0.3088  0.1728  0.10
O  0.6912  0.8272  0.5184  0.10
O  0.6912  0.1728  0.8640  0.10
O  0.1360  0.3088  0.8272  0.10
Ba  0.0000  0.0000  0.0000  0.00

=====

No. 2
Material: BaPr4Pb3O12
Method: DFT, PBE-GGA
State: optimized geometry

a = 7.7184 Å, b = 7.7184 Å, c = 7.7184 Å
α = 109.47°, β = 109.47°, γ = 109.47°
Last column: magnetic moment on the atom in μB.
Atoms (fractional coordinates):
O  0.3105  0.1695  0.4800  0.10
O  0.6895  0.8305  0.5200  0.10
O  0.1695  0.4800  0.3105  0.10
O  0.8590  0.6895  0.1695  0.10
O  0.3105  0.8305  0.1410  0.10
O  0.8305  0.5200  0.6895  0.10
O  0.5200  0.6895  0.8305  0.10
O  0.6895  0.1695  0.8590  0.10
O  0.4800  0.3105  0.1695  0.10
O  0.1695  0.8590  0.6895  0.10
O  0.1410  0.3105  0.8305  0.10
O  0.8305  0.1410  0.3105  0.10
Pr  0.0000  0.5000  0.0000  0.01
Pr  0.0000  0.0000  0.5000  0.01
Pr  0.5000  0.5000  0.5000  0.01
Pr  0.5000  0.0000  0.0000  0.01
Pb  0.5000  0.5000  0.0000  0.12
Pb  0.0000  0.5000  0.5000  0.12
Pb  0.5000  0.0000  0.5000  0.12
Ba  0.0000  0.0000  0.0000  0.00

=====

No. 3
Material: Ba4PrPb3O12
Method: DFT, PBE-GGA
State: optimized geometry

a = 7.6532 Å, b = 7.6532 Å, c = 7.6532 Å
α = 109.47°, β = 109.47°, γ = 109.47°
Last column: magnetic moment on the atom in μB.
Atoms (fractional coordinates):
Pb  0.0000  0.5000  0.5000  0.00
Pb  0.5000  0.5000  0.0000  0.00
Pb  0.5000  0.0000  0.5000  0.00
Ba  0.5000  0.5000  0.5000  0.00
Ba  0.0000  0.5000  0.0000  0.00
Ba  0.0000  0.0000  0.5000  0.00
Ba  0.5000  0.0000  0.0000  0.00
O  0.2606  0.0000  0.2606  0.03
O  0.7395  0.0000  0.7395  0.03
O  0.2606  0.2606  0.0000  0.03
O  0.2500  0.7500  0.5000  0.06
O  0.0000  0.2606  0.2606  0.03
O  0.2500  0.5000  0.7500  0.06
O  0.0000  0.7395  0.7395  0.03
O  0.5000  0.2500  0.7500  0.06
O  0.5000  0.7500  0.2500  0.06
O  0.7395  0.7395  0.0000  0.03
O  0.7500  0.2500  0.5000  0.06
O  0.7500  0.5000  0.2500  0.06
Pr  0.0000  0.0000  0.0000  0.00

=====

No. 4
Material: Ba2PrPbO5
Method: DFT, PBE-GGA
State: optimized geometry

a = 3.7736 Å, b = 7.9815 Å, c = 11.7498 Å
α = 90.00°, β = 90.00°, γ = 103.67°
Atoms (fractional coordinates):
Ba  0.1177  0.2353  0.7058
Ba  0.8652  0.7303  0.7774
Ba  0.8823  0.7647  0.2058
Ba  0.1348  0.2697  0.2774
O  0.4967  0.9935  0.7888
O  0.7192  0.4384  0.1390
O  0.5033  0.0065  0.2888
O  0.2808  0.5616  0.6390
O  0.2980  0.5961  0.3725
O  0.6279  0.2559  0.5113
O  0.0616  0.1232  0.0527
O  0.3721  0.7441  0.0113
O  0.7020  0.4039  0.8725
O  0.9384  0.8768  0.5527
Pr  0.7783  0.5565  0.5023
Pr  0.2217  0.4435  0.0023
Pb  0.5144  0.0288  0.9741
Pb  0.4856  0.9712  0.4741

=====

No. 5
Material: Ba2PtPbO6
Method: DFT, PBE-GGA
State: optimized geometry

a = 6.0810 Å, b = 6.0810 Å, c = 10.7179 Å
α = 73.52°, β = 73.52°, γ = 60.00°
Atoms (fractional coordinates):
O  0.8107  0.2466  0.1319
O  0.1893  0.1893  0.8681
O  0.7534  0.1893  0.8681
O  0.3905  0.8458  0.3732
O  0.8458  0.3905  0.3732
O  0.8107  0.8107  0.1319
O  0.6095  0.6095  0.6268
O  0.1893  0.7534  0.8681
O  0.3905  0.3905  0.3732
O  0.2466  0.8107  0.1319
O  0.6095  0.1542  0.6268
O  0.1542  0.6095  0.6268
Pb  0.5960  0.5960  0.2119
Pb  0.4040  0.4040  0.7881
Pt  0.5000  0.5000  0.5000
Pt  0.0000  0.0000  0.0000
Ba  0.1272  0.1272  0.6185
Ba  0.2756  0.2756  0.1731
Ba  0.7244  0.7244  0.8269
Ba  0.8728  0.8728  0.3815

=====

No. 6
Material: Ba2PuPbO6
Method: DFT, PBE-GGA
State: optimized geometry

a = 6.3815 Å, b = 6.2696 Å, c = 6.2655 Å
α = 120.02°, β = 119.66°, γ = 90.00°
Last column: magnetic moment on the atom in μB.
Atoms (fractional coordinates):
Pb  0.5000  0.0000  0.0000  -0.02
O  0.6843  0.2773  0.5547  -0.08
O  0.1697  0.6778  0.8916  -0.07
O  0.8303  0.3222  0.1084  -0.07
O  0.8303  0.7862  0.1084  -0.07
O  0.3157  0.7227  0.4453  -0.08
O  0.1697  0.2138  0.8916  -0.07
Ba  0.7647  0.7518  0.5036  0.00
Ba  0.2353  0.2482  0.4964  0.00
Pu  0.0000  0.5000  0.0000  2.46

=====

No. 7
Material: RbBa2PbO
Method: DFT, PBE-GGA
State: optimized geometry

a = 5.5168 Å, b = 5.5168 Å, c = 5.7093 Å
α = 90.00°, β = 90.00°, γ = 90.00°
Last column: magnetic moment on the atom in μB.
Atoms (fractional coordinates):
Pb  0.5000  0.5000  0.5000  0.16
Ba  0.5000  0.0000  0.0000  0.02
Ba  0.0000  0.5000  0.0000  0.02
O  0.0000  0.0000  0.0000  0.00
Rb  0.0000  0.0000  0.5000  0.01

=====

No. 8
Material: Rb2BaPbO4
Method: DFT, PBE-GGA
State: optimized geometry

a = 7.7056 Å, b = 7.7056 Å, c = 7.8474 Å
α = 120.61°, β = 120.61°, γ = 90.91°
Atoms (fractional coordinates):
Ba  0.0000  0.5000  0.5000
Ba  0.0000  0.5000  0.0000
Pb  0.5000  0.5000  0.5000
Pb  0.0000  0.0000  0.0000
O  0.7544  0.7457  0.9515
O  0.2456  0.2543  0.0485
O  0.7543  0.7456  0.5485
O  0.1842  0.7872  0.9857
O  0.2457  0.2544  0.4515
O  0.2872  0.6842  0.4857
O  0.7128  0.3158  0.5143
O  0.8158  0.2128  0.0143
Rb  0.5000  0.0000  0.0000
Rb  0.5000  0.0000  0.5000
Rb  0.0000  0.0000  0.5000
Rb  0.5000  0.5000  0.0000

=====

No. 9
Material: RbBa2PbO4
Method: DFT, PBE-GGA
State: optimized geometry

a = 7.7802 Å, b = 7.7802 Å, c = 7.7625 Å
α = 119.91°, β = 119.91°, γ = 89.23°
Last column: magnetic moment on the atom in μB.
Atoms (fractional coordinates):
O  0.7663  0.1997  0.9830  0.21
O  0.3003  0.7337  0.5170  0.21
O  0.6997  0.2663  0.4830  0.21
O  0.2562  0.2442  0.5078  0.09
O  0.2337  0.8003  0.0170  0.21
O  0.7442  0.7562  0.0078  0.09
O  0.2558  0.2438  0.9922  0.09
O  0.7438  0.7558  0.4922  0.09
Ba  0.0000  0.0000  0.5000  0.02
Ba  0.5000  0.5000  0.0000  0.02
Ba  0.5000  0.0000  0.0000  0.00
Ba  0.5000  0.0000  0.5000  0.00
Pb  0.0000  0.0000  0.0000  0.11
Pb  0.5000  0.5000  0.5000  0.11
Rb  0.0000  0.5000  0.0000  0.00
Rb  0.0000  0.5000  0.5000  0.00

=====

No. 10
Material: RbBaPbO3
Method: DFT, PBE-GGA
State: optimized geometry

a = 3.9670 Å, b = 7.1404 Å, c = 10.2098 Å
α = 89.36°, β = 90.00°, γ = 90.00°
Last column: magnetic moment on the atom in μB.
Atoms (fractional coordinates):
Ba  0.7500  0.5038  0.8424  0.00
Ba  0.2500  0.4962  0.1576  0.00
Pb  0.2500  0.1994  0.5287  0.00
Pb  0.7500  0.8006  0.4713  0.00
O  0.2500  0.8764  0.5694  0.00
O  0.7500  0.1236  0.4306  0.00
O  0.7500  0.3039  0.0501  0.09
O  0.2500  0.6961  0.9499  0.09
O  0.2500  0.2827  0.7252  0.01
O  0.7500  0.7173  0.2748  0.01
Rb  0.2500  0.9990  0.1540  0.00
Rb  0.7500  0.0010  0.8460  0.00

=====

No. 11
Material: BaRePbO6
Method: DFT, PBE-GGA
State: optimized geometry

a = 5.7206 Å, b = 5.7207 Å, c = 5.5438 Å
α = 90.00°, β = 90.00°, γ = 59.98°
Atoms (fractional coordinates):
O  0.5904  0.0478  0.2982
O  0.0479  0.3619  0.2981
O  0.3619  0.0479  0.7019
O  0.5899  0.3621  0.7021
O  0.0477  0.5905  0.7018
O  0.3621  0.5899  0.2979
Pb  0.6666  0.6666  0.4999
Re  0.3333  0.3333  0.5000
Ba  0.9999  0.0000  0.0000

=====

No. 12
Material: BaRe2PbO8
Method: DFT, PBE-GGA
State: optimized geometry

a = 6.0445 Å, b = 6.0445 Å, c = 8.0681 Å
α = 90.00°, β = 90.00°, γ = 120.00°
Last column: magnetic moment on the atom in μB.
Atoms (fractional coordinates):
Pb  0.0000  0.0000  0.5000  0.08
O  0.6626  0.8309  0.7283  0.04
O  0.6667  0.3333  0.9832  0.07
O  0.1683  0.3374  0.7283  0.04
O  0.8309  0.1683  0.2717  0.04
O  0.8317  0.6626  0.2717  0.04
O  0.3333  0.6667  0.0168  0.07
O  0.3374  0.1691  0.2717  0.04
O  0.1691  0.8317  0.7283  0.04
Re  0.6667  0.3333  0.2041  0.62
Re  0.3333  0.6667  0.7959  0.62
Ba  0.0000  0.0000  0.0000  0.01

=====

No. 13
Material: Ba6RhPb2O
Method: DFT, PBE-GGA
State: optimized geometry

a = 8.2022 Å, b = 8.2026 Å, c = 11.6066 Å
α = 90.00°, β = 90.00°, γ = 90.00°
Atoms (fractional coordinates):
Rh  0.0000  0.7497  0.5000
Rh  0.5000  0.2503  0.0000
Pb  0.5000  0.7497  0.7499
Pb  0.0000  0.2503  0.2499
Pb  0.5000  0.7497  0.2501
Pb  0.0000  0.2503  0.7501
Ba  0.5000  0.2502  0.2591
Ba  0.7591  0.9911  0.0000
Ba  0.7409  0.0089  0.5000
Ba  0.5000  0.2502  0.7409
Ba  0.7411  0.4907  0.5000
Ba  0.0000  0.7498  0.2409
Ba  0.2409  0.9911  0.0000
Ba  0.2591  0.0089  0.5000
Ba  0.2411  0.5093  0.0000
Ba  0.2589  0.4907  0.5000
Ba  0.0000  0.7498  0.7591
Ba  0.7589  0.5093  0.0000
O  0.0000  0.7501  0.0000
O  0.5000  0.2499  0.5000

=====

No. 14
Material: BaRhPb2O8
Method: DFT, PBE-GGA
State: optimized geometry

a = 4.7989 Å, b = 5.4077 Å, c = 7.2650 Å
α = 74.86°, β = 83.53°, γ = 85.70°
Last column: magnetic moment on the atom in μB.
Atoms (fractional coordinates):
Ba  0.0000  0.0000  0.5000  0.01
O  0.0846  0.7110  0.2342  -0.01
O  0.4681  0.2563  0.4928  0.01
O  0.5319  0.7437  0.5072  0.01
O  0.7736  0.1690  0.1580  0.26
O  0.6884  0.7909  0.9791  -0.06
O  0.9154  0.2890  0.7658  -0.01
O  0.2264  0.8310  0.8420  0.26
O  0.3116  0.2091  0.0209  -0.06
Rh  0.0000  0.0000  0.0000  0.41
Pb  0.4649  0.4217  0.7449  0.00
Pb  0.5351  0.5783  0.2551  0.00

=====

No. 15
Material: Ba4Ru3PbO12
Method: DFT, PBE-GGA
State: optimized geometry

a = 7.2148 Å, b = 7.2148 Å, c = 7.2148 Å
α = 109.47°, β = 109.47°, γ = 109.47°
Last column: magnetic moment on the atom in μB.
Atoms (fractional coordinates):
Ba  0.0000  0.0000  0.5000  0.01
Ba  0.5000  0.5000  0.5000  0.01
Ba  0.5000  0.0000  0.0000  0.01
Ba  0.0000  0.5000  0.0000  0.01
O  0.5000  0.2500  0.7500  0.17
O  0.0000  0.2634  0.2634  0.13
O  0.5000  0.7500  0.2500  0.17
O  0.7500  0.2500  0.5000  0.17
O  0.2634  0.0000  0.2634  0.13
O  0.0000  0.7366  0.7366  0.13
O  0.2634  0.2634  0.0000  0.13
O  0.7366  0.7366  0.0000  0.13
O  0.2500  0.5000  0.7500  0.17
O  0.7366  0.0000  0.7366  0.13
O  0.7500  0.5000  0.2500  0.17
O  0.2500  0.7500  0.5000  0.17
Ru  0.0000  0.5000  0.5000  1.75
Ru  0.5000  0.5000  0.0000  1.75
Ru  0.5000  0.0000  0.5000  1.75
Pb  0.0000  0.0000  0.0000  0.05

=====

No. 16
Material: BaRuPb2O6
Method: DFT, PBE-GGA
State: optimized geometry

a = 5.7496 Å, b = 6.5792 Å, c = 8.5001 Å
α = 90.00°, β = 89.45°, γ = 90.00°
Last column: magnetic moment on the atom in μB.
Atoms (fractional coordinates):
Pb  0.4960  0.4764  0.2182  0.01
Pb  0.5040  0.5236  0.7818  0.01
Pb  0.0040  0.9764  0.2818  0.01
Pb  0.9960  0.0236  0.7182  0.01
Ba  0.5000  0.0000  0.0000  0.02
Ba  0.0000  0.5000  0.5000  0.02
O  0.3762  0.8735  0.6940  0.05
O  0.7024  0.3506  0.9870  0.05
O  0.2024  0.1494  0.4870  0.05
O  0.6545  0.2138  0.6258  0.06
O  0.8762  0.6265  0.1940  0.05
O  0.8455  0.7138  0.8742  0.06
O  0.6238  0.1265  0.3060  0.05
O  0.7976  0.8506  0.5130  0.05
O  0.3455  0.7862  0.3742  0.06
O  0.2976  0.6494  0.0130  0.05
O  0.1238  0.3735  0.8060  0.05
O  0.1545  0.2862  0.1258  0.06
Ru  0.0000  0.5000  0.0000  1.45
Ru  0.5000  0.0000  0.5000  1.45

=====

No. 17
Material: BaRu2PbO8
Method: DFT, PBE-GGA
State: optimized geometry

a = 5.5481 Å, b = 5.5481 Å, c = 8.5370 Å
α = 88.63°, β = 88.63°, γ = 67.63°
Last column: magnetic moment on the atom in μB.
Atoms (fractional coordinates):
O  0.2639  0.2639  0.9321  0.21
O  0.2412  0.7325  0.7645  0.14
O  0.7588  0.2675  0.2355  0.14
O  0.7156  0.7156  0.4183  0.20
O  0.2675  0.7588  0.2355  0.14
O  0.2844  0.2844  0.5817  0.20
O  0.7361  0.7361  0.0679  0.21
O  0.7325  0.2412  0.7645  0.14
Ru  0.3792  0.3792  0.7612  1.06
Ru  0.6208  0.6208  0.2388  1.06
Ba  0.0000  0.0000  0.5000  0.02
Pb  0.0000  0.0000  0.0000  0.04

=====

No. 18
Material: BaRuPb2O8
Method: DFT, PBE-GGA
State: optimized geometry

a = 4.8147 Å, b = 5.6984 Å, c = 7.3985 Å
α = 72.77°, β = 85.03°, γ = 87.95°
Atoms (fractional coordinates):
O  0.0796  0.7247  0.2398
O  0.3205  0.1967  0.0131
O  0.5228  0.7372  0.5179
O  0.4772  0.2628  0.4821
O  0.6795  0.8033  0.9869
O  0.8002  0.1534  0.1469
O  0.9204  0.2753  0.7602
O  0.1998  0.8466  0.8531
Ba  0.0000  0.0000  0.5000
Pb  0.4761  0.3951  0.7368
Pb  0.5239  0.6049  0.2632
Ru  0.0000  0.0000  0.0000

=====

Number 1: formation energy from raw total energies -2.21 eV/atom, size of the total moment 0.0919 μB/atom. Number 2: formation energy from raw total energies -2.15 eV/atom, size of the total moment 0.0918 μB/atom. Number 3: formation energy from raw total energies -1.90 eV/atom, size of the total moment 0.0299 μB/atom. Number 4: formation energy from raw total energies -2.28 eV/atom, size of the total moment 0.0000 μB/atom. Number 5: formation energy from raw total energies -1.53 eV/atom, size of the total moment 0.0000 μB/atom. Number 6: formation energy from raw total energies -2.45 eV/atom, size of the total moment 0.2000 μB/atom. Number 7: formation energy from raw total energies -1.08 eV/atom, size of the total moment 0.1326 μB/atom. Number 8: formation energy from raw total energies -1.44 eV/atom, size of the total moment 0.0000 μB/atom. Number 9: formation energy from raw total energies -1.67 eV/atom, size of the total moment 0.1061 μB/atom. Number 10: formation energy from raw total energies -1.44 eV/atom, size of the total moment 0.0203 μB/atom. Number 11: formation energy from raw total energies -1.71 eV/atom, size of the total moment 0.0000 μB/atom. Number 12: formation energy from raw total energies -1.70 eV/atom, size of the total moment 0.1704 μB/atom. Number 13: formation energy from raw total energies -0.76 eV/atom, size of the total moment 0.0000 μB/atom. Number 14: formation energy from raw total energies -0.89 eV/atom, size of the total moment 0.0799 μB/atom. Number 15: formation energy from raw total energies -1.66 eV/atom, size of the total moment 0.3894 μB/atom. Number 16: formation energy from raw total energies -1.35 eV/atom, size of the total moment 0.1997 μB/atom. Number 17: formation energy from raw total energies -1.22 eV/atom, size of the total moment 0.3355 μB/atom. Number 18: formation energy from raw total energies -1.05 eV/atom, size of the total moment 0.0000 μB/atom.